The following is a DFT calculation (PBE-GGA) of GeSbRu2 after structural relaxation.

Computed properties:
* symmetry: No. 225
* DFT total energy: -6.8371 eV/atom
* mass density: 10.4 g/cm3

Cell lengths 4.4712, 4.4712, 4.4712 Å; angles 60.00, 60.00, 60.00 degrees
With the nearest neighbours (Å) after each atom.
Sites, in units of the cell vectors:
Ge 0.0000 0.0000 0.0000  8 Ru 2.74
Sb 0.5000 0.5000 0.5000  8 Ru 2.74
Ru 0.2500 0.2500 0.2500  4 Sb 2.74, 4 Ge 2.74
Ru 0.7500 0.7500 0.7500  4 Ge 2.74, 4 Sb 2.74

---

The following is a DFT calculation (PBE-GGA) of GeSbRu after structural relaxation.

Computed properties:
* symmetry: No. 8
* DFT total energy: -6.1420 eV/atom
* mass density: 8.5 g/cm3

Cell lengths 6.4648, 6.4648, 5.8069 Å; angles 99.46, 99.46, 28.73 degrees
With the nearest neighbours (Å) after each atom.
Sites, in units of the cell vectors:
Ge 0.0000 0.0000 0.0000  2 Ru 2.46-2.47
Ge 0.6060 0.6060 0.4645  4 Ru 2.52-2.53, 1 Sb 2.74
Sb 0.3549 0.3549 0.6802  3 Ru 2.67-2.72, 2 Ge 2.86
Sb 0.7463 0.7463 0.1501  3 Ru 2.68, 1 Ge 2.74
Ru 0.1582 0.1582 0.8002  3 Ge 2.46-2.52, 3 Sb 2.67-2.68
Ru 0.9480 0.9480 0.3925  3 Ge 2.47-2.53, 3 Sb 2.68-2.72

---

The following is a DFT calculation (PBE-GGA) of ScGe2SbRu after structural relaxation.

Computed properties:
* symmetry: No. 123
* DFT total energy: -4.8777 eV/atom
* mass density: 5.3 g/cm3

Cell lengths 5.1898, 5.1898, 4.8251 Å; angles 90.00, 90.00, 90.00 degrees
With the nearest neighbours (Å) after each atom.
Sites, in units of the cell vectors:
Sc 0.0000 0.0000 0.0000  8 Ge 3.54, 4 Ru 3.67
Ge 0.0000 0.5000 0.5000  2 Sb 2.59
Ge 0.5000 0.0000 0.5000  2 Sb 2.59
Sb 0.5000 0.5000 0.5000  2 Ru 2.41, 4 Ge 2.59
Ru 0.5000 0.5000 0.0000  2 Sb 2.41

---

The following is a DFT calculation (PBE-GGA) of GeSbRuSe2 after structural relaxation.

Computed properties:
* symmetry: No. 123
* DFT total energy: -3.8788 eV/atom
* mass density: 5.9 g/cm3

Cell lengths 4.9094, 4.9094, 5.2801 Å; angles 90.00, 90.00, 90.00 degrees
With the nearest neighbours (Å) after each atom.
Sites, in units of the cell vectors:
Ge 0.0000 0.0000 0.0000  4 Se 2.45, 2 Sb 2.64
Sb 0.0000 0.0000 0.5000  2 Ge 2.64
Ru 0.5000 0.5000 0.5000  4 Sb 3.47, 8 Se 3.60
Se 0.0000 0.5000 0.0000  2 Ge 2.45
Se 0.5000 0.0000 0.0000  2 Ge 2.45

---

The following is a DFT calculation (PBE-GGA) of GeSb2TeRu after structural relaxation.

Computed properties:
* symmetry: No. 123
* DFT total energy: -4.5216 eV/atom
* mass density: 6.3 g/cm3

Cell lengths 4.9885, 4.9885, 5.7573 Å; angles 90.00, 90.00, 90.00 degrees
With the nearest neighbours (Å) after each atom.
Sites, in units of the cell vectors:
Ge 0.0000 0.0000 0.0000  4 Te 3.53, 8 Sb 3.81
Sb 0.0000 0.5000 0.5000  2 Ru 2.49
Sb 0.5000 0.0000 0.5000  2 Ru 2.49
Te 0.5000 0.5000 0.0000  2 Ru 2.88
Ru 0.5000 0.5000 0.5000  4 Sb 2.49

---

The following is a DFT calculation (PBE-GGA) of GeSb2TeRu after structural relaxation.

Computed properties:
* symmetry: No. 123
* DFT total energy: -3.7780 eV/atom
* mass density: 6.2 g/cm3

Cell lengths 5.2618, 5.2618, 5.2500 Å; angles 90.00, 90.00, 90.00 degrees
With the nearest neighbours (Å) after each atom.
Sites, in units of the cell vectors:
Ge 0.0000 0.0000 0.0000  2 Te 2.62, 4 Sb 2.63
Sb 0.0000 0.5000 0.0000  2 Ge 2.63
Sb 0.5000 0.0000 0.0000  2 Ge 2.63
Te 0.0000 0.0000 0.5000  2 Ge 2.62
Ru 0.5000 0.5000 0.5000  8 Sb 3.72, 4 Te 3.72

---

The following is a DFT calculation (PBE-GGA) of TiGe2SbRu after structural relaxation.

Computed properties:
* symmetry: No. 123
* DFT total energy: -5.4476 eV/atom
* mass density: 6.3 g/cm3

Cell lengths 4.9032, 4.9032, 4.5752 Å; angles 90.00, 90.00, 90.00 degrees
With the nearest neighbours (Å) after each atom.
Sites, in units of the cell vectors:
Ti 0.0000 0.0000 0.0000  2 Ru 2.29, 4 Ge 2.45
Ge 0.0000 0.5000 0.0000  2 Ti 2.45
Ge 0.5000 0.0000 0.0000  2 Ti 2.45
Sb 0.5000 0.5000 0.5000  8 Ge 3.35, 4 Ru 3.47
Ru 0.0000 0.0000 0.5000  2 Ti 2.29

---

The following is a DFT calculation (PBE-GGA) of U2GeSb2Ru4 after structural relaxation.

Computed properties:
* symmetry: No. 139
* DFT total energy: -7.9931 eV/atom
* mass density: 11.1 g/cm3

Cell lengths 6.3545, 6.3545, 6.3545 Å; angles 120.86, 120.86, 88.52 degrees
With the nearest neighbours (Å) after each atom.
Sites, in units of the cell vectors:
U 0.1879 0.1879 0.0000  4 Ru 2.63, 1 Ge 2.84
U 0.8121 0.8121 0.0000  4 Ru 2.63, 1 Ge 2.84
Ge 0.5000 0.5000 0.0000  4 Ru 2.44
Sb 0.2500 0.7500 0.5000  8 Ru 3.18, 4 U 3.19
Sb 0.7500 0.2500 0.5000  8 Ru 3.18, 4 U 3.19
Ru 0.2250 0.2250 0.4500  1 Ge 2.44, 2 U 2.63
Ru 0.2250 0.7750 0.0000  1 Ge 2.44, 2 U 2.63
Ru 0.7750 0.2250 0.0000  1 Ge 2.44, 2 U 2.63
Ru 0.7750 0.7750 0.5500  1 Ge 2.44, 2 U 2.63

---

The following is a DFT calculation (PBE-GGA) of Sc2Ge2Ru after structural relaxation.

Computed properties:
* energy of formation: -793 meV/atom
* symmetry: No. 127
* DFT total energy: -7.0274 eV/atom
* mass density: 6.4 g/cm3

Cell lengths 6.5878, 6.5878, 4.0354 Å; angles 90.00, 90.00, 90.00 degrees
With the nearest neighbours (Å) after each atom.
Sites, in units of the cell vectors:
Sc 0.1729 0.3271 0.0000  6 Ge 2.69-2.87
Sc 0.3271 0.8271 0.0000  6 Ge 2.69-2.87
Sc 0.6729 0.1729 0.0000  6 Ge 2.69-2.87
Sc 0.8271 0.6729 0.0000  6 Ge 2.69-2.87
Ge 0.1353 0.6353 0.5000  1 Ge 2.52, 2 Ru 2.56, 2 Sc 2.69
Ge 0.3647 0.1353 0.5000  1 Ge 2.52, 2 Ru 2.56, 2 Sc 2.69
Ge 0.6353 0.8647 0.5000  1 Ge 2.52, 2 Ru 2.56, 2 Sc 2.69
Ge 0.8647 0.3647 0.5000  1 Ge 2.52, 2 Ru 2.56, 2 Sc 2.69
Ru 0.0000 0.0000 0.5000  4 Ge 2.56
Ru 0.5000 0.5000 0.5000  4 Ge 2.56

---

The following is a DFT calculation (PBE-GGA) of Sc5GeRu4 after structural relaxation.

Computed properties:
* energy of formation: -622 meV/atom
* symmetry: No. 123
* DFT total energy: -7.9599 eV/atom
* mass density: 6.9 g/cm3

Cell lengths 3.2693, 3.2693, 15.9006 Å; angles 90.00, 90.00, 90.00 degrees
With the nearest neighbours (Å) after each atom.
Sites, in units of the cell vectors:
Sc 0.0000 0.0000 0.0000  8 Ru 2.82, 2 Sc 3.13
Sc 0.0000 0.0000 0.1967  8 Ru 2.76-2.87
Sc 0.0000 0.0000 0.3927  4 Ru 2.71, 4 Ge 2.87
Sc 0.0000 0.0000 0.6073  4 Ru 2.71, 4 Ge 2.87
Sc 0.0000 0.0000 0.8033  8 Ru 2.76-2.87
Ge 0.5000 0.5000 0.5000  8 Sc 2.87, 2 Ru 3.12
Ru 0.5000 0.5000 0.1013  8 Sc 2.76-2.82
Ru 0.5000 0.5000 0.3036  8 Sc 2.71-2.87
Ru 0.5000 0.5000 0.6964  8 Sc 2.71-2.87
Ru 0.5000 0.5000 0.8987  8 Sc 2.76-2.82

---

The following is a DFT calculation (PBE-GGA) of ScGe3Ru after structural relaxation.

Computed properties:
* energy of formation: 218 meV/atom
* symmetry: No. 221
* DFT total energy: -5.6742 eV/atom
* mass density: 5.6 g/cm3

Cell lengths 4.7638, 4.7638, 4.7638 Å; angles 90.00, 90.00, 90.00 degrees
With the nearest neighbours (Å) after each atom.
Sites, in units of the cell vectors:
Sc 0.0000 0.0000 0.0000  12 Ge 3.37
Ge 0.0000 0.5000 0.5000  2 Ru 2.38
Ge 0.5000 0.0000 0.5000  2 Ru 2.38
Ge 0.5000 0.5000 0.0000  2 Ru 2.38
Ru 0.5000 0.5000 0.5000  6 Ge 2.38

---

The following is a DFT calculation (PBE-GGA) of ScGe2Ru2 after structural relaxation.

Computed properties:
* energy of formation: -403 meV/atom
* symmetry: No. 127
* DFT total energy: -7.2266 eV/atom
* mass density: 8.3 g/cm3

Cell lengths 7.2905, 7.2905, 2.9421 Å; angles 90.00, 90.00, 90.00 degrees
With the nearest neighbours (Å) after each atom.
Sites, in units of the cell vectors:
Sc 0.0000 0.0000 0.0000  4 Ge 2.80, 2 Sc 2.94, 8 Ru 3.14
Sc 0.5000 0.5000 0.0000  4 Ge 2.80, 2 Sc 2.94, 8 Ru 3.14
Ge 0.1430 0.3570 0.0000  6 Ru 2.58-2.61, 2 Sc 2.80
Ge 0.3570 0.8570 0.0000  6 Ru 2.58-2.61, 2 Sc 2.80
Ge 0.6430 0.1430 0.0000  6 Ru 2.58-2.61, 2 Sc 2.80
Ge 0.8570 0.6430 0.0000  6 Ru 2.58-2.61, 2 Sc 2.80
Ru 0.1518 0.6518 0.5000  6 Ge 2.58-2.61
Ru 0.3482 0.1518 0.5000  6 Ge 2.58-2.61
Ru 0.6518 0.8482 0.5000  6 Ge 2.58-2.61
Ru 0.8482 0.3482 0.5000  6 Ge 2.58-2.61

---

| no. | Fermi-level density of states (states/eV/atom) | V (Å³/atom) |
| --- | --- | --- |
| 1 | 1.449 | 15.80 |
| 2 | 0.360 | 19.16 |
| 3 | 0.860 | 25.99 |
| 4 | 1.187 | 25.45 |
| 5 | 0.643 | 28.65 |
| 6 | 1.107 | 29.07 |
| 7 | 0.897 | 22.00 |
| 8 | 1.212 | 19.89 |
| 9 | 0.463 | 17.51 |
| 10 | 0.651 | 16.99 |
| 11 | 1.076 | 21.62 |
| 12 | 0.987 | 15.64 |